Entry 1:
VASP calculation (SCAN) on LiTiSeI2 at its PBEsol-relaxed geometry.

Cell and atoms, written as POSCAR:
```
LiTiSeI2
1.0
5.2284 0.0000 0.0000
0.0000 5.2284 0.0000
0.0000 0.0000 6.3748
Li Ti Se I
1 1 1 2
Direct
0.0000 0.0000 0.0000
0.0000 0.0000 0.5000
0.5000 0.5000 0.0000
0.0000 0.5000 0.5000
0.5000 0.0000 0.5000
```

Computed properties:
The value obtained for the magnetic moment is 0.5945 μB per atom. As for the symmetry: P4/mmm (123). The total energy is -22.3324 eV per atom. Its density of states at the Fermi level is 0.50 states/eV per atom.



Entry 2:
VASP calculation (SCAN) on P2AuBr at its PBEsol-relaxed geometry.

Cell and atoms, written as POSCAR:
```
P2AuBr
1.0
4.9045 0.0000 0.0000
0.0000 4.9045 0.0000
0.0000 0.0000 2.8857
P Au Br
2 1 1
Direct
0.0000 0.5000 0.0000
0.5000 0.0000 0.0000
0.0000 0.0000 0.5000
0.5000 0.5000 0.5000
```

Computed properties:
The value obtained for the magnetic moment is 0.0000 μB per atom. As for the symmetry: P4/mmm (123). The total energy is -26.3520 eV per atom. Its density of states at the Fermi level is 0.51 states/eV per atom.



Entry 3:
VASP calculation (SCAN) on KGdH2C2SO9 at its PBEsol-relaxed geometry.

Cell and atoms, written as POSCAR:
```
KGdH2C2SO9
1.0
6.5844 0.0000 0.0000
0.0000 8.5312 0.0000
-5.6892 0.0000 13.4055
K Gd H C S O
4 4 8 8 4 36
Direct
0.0341 0.1432 0.3017
0.0341 0.3568 0.8017
0.9659 0.6432 0.1983
0.9659 0.8568 0.6983
0.3296 0.2478 0.5834
0.3296 0.2522 0.0834
0.6704 0.7478 0.9166
0.6704 0.7522 0.4166
0.0275 0.0428 0.9118
0.0275 0.4572 0.4118
0.2664 0.0394 0.9093
0.2664 0.4606 0.4093
0.7336 0.5394 0.5907
0.7336 0.9606 0.0907
0.9725 0.5428 0.5882
0.9725 0.9572 0.0882
0.3640 0.5398 0.7308
0.3640 0.9602 0.2308
0.4159 0.0449 0.7809
0.4159 0.4551 0.2809
0.5841 0.5449 0.7191
0.5841 0.9551 0.2191
0.6360 0.0398 0.7692
0.6360 0.4602 0.2692
0.2605 0.6624 0.0270
0.2605 0.8376 0.5270
0.7395 0.1624 0.4730
0.7395 0.3376 0.9730
0.0515 0.7381 0.9608
0.0515 0.7619 0.4608
0.1719 0.0985 0.9377
0.1719 0.4015 0.4377
0.2146 0.0445 0.1678
0.2146 0.4555 0.6678
0.2461 0.0089 0.5020
0.2461 0.4911 0.0020
0.2683 0.1348 0.7247
0.2683 0.3652 0.2247
0.2990 0.6836 0.1325
0.2990 0.8164 0.6325
0.3462 0.6140 0.8019
0.3462 0.8860 0.3019
0.3977 0.5450 0.3472
0.3977 0.9550 0.8472
0.4442 0.7335 0.0063
0.4442 0.7665 0.5063
0.5558 0.2335 0.4937
0.5558 0.2665 0.9937
0.6023 0.0450 0.1528
0.6023 0.4550 0.6528
0.6538 0.1140 0.6981
0.6538 0.3860 0.1981
0.7010 0.1836 0.3675
0.7010 0.3164 0.8675
0.7317 0.6348 0.7753
0.7317 0.8652 0.2753
0.7539 0.5089 0.9980
0.7539 0.9911 0.4980
0.7854 0.5445 0.3322
0.7854 0.9555 0.8322
0.8281 0.5985 0.5623
0.8281 0.9015 0.0623
0.9485 0.2381 0.5392
0.9485 0.2619 0.0392
```

Computed properties:
The value obtained for the magnetic moment is 0.4317 μB per atom. As for the symmetry: P2_1/c (14). The total energy is -11.9015 eV per atom. Its density of states at the Fermi level is 0.00 states/eV per atom.



Entry 4:
VASP calculation (SCAN) on Co3Br at its PBEsol-relaxed geometry.

Cell and atoms, written as POSCAR:
```
Co3Br
1.0
-1.4358 2.0563 4.1742
1.4358 -2.0563 4.1742
1.4358 2.0563 -4.1742
Co Br
3 1
Direct
0.0000 0.0000 0.0000
0.2629 0.7629 0.5000
0.7371 0.2371 0.5000
0.5000 0.5000 0.0000
```

Computed properties:
The value obtained for the magnetic moment is 1.2908 μB per atom. As for the symmetry: Immm (71). The value obtained for the excess energy over the best structure of this formula in the dataset is 0.102 eV/atom. The total energy is -16.9489 eV per atom. Its density of states at the Fermi level is 0.92 states/eV per atom.



Entry 5:
VASP calculation (SCAN) on KReSe2 at its PBEsol-relaxed geometry.

Cell and atoms, written as POSCAR:
```
KReSe2
1.0
0.0000 3.4110 3.4110
3.4110 0.0000 3.4110
3.4110 3.4110 0.0000
K Re Se
1 1 2
Direct
0.0000 0.0000 0.0000
0.7500 0.7500 0.7500
0.2500 0.2500 0.2500
0.5000 0.5000 0.5000
```

Computed properties:
The value obtained for the magnetic moment is 0.8849 μB per atom. As for the symmetry: F-43m (216). The value obtained for the excess energy over the best structure of this formula in the dataset is 1.601 eV/atom. The total energy is -28.5732 eV per atom. Its density of states at the Fermi level is 0.72 states/eV per atom.



Entry 6:
VASP calculation (SCAN) on HfHgAs3 at its PBEsol-relaxed geometry.

Cell and atoms, written as POSCAR:
```
HfHgAs3
1.0
5.0801 0.0000 0.0000
0.0000 5.0801 0.0000
0.0000 0.0000 5.0801
Hf Hg As
1 1 3
Direct
0.0000 0.0000 0.0000
0.5000 0.5000 0.5000
0.0000 0.0000 0.5000
0.0000 0.5000 0.0000
0.5000 0.0000 0.0000
```

Computed properties:
The value obtained for the magnetic moment is 0.0000 μB per atom. As for the symmetry: Pm-3m (221). The value obtained for the excess energy over the best structure of this formula in the dataset is 0.000 eV/atom. The total energy is -38.0660 eV per atom. Its density of states at the Fermi level is 0.76 states/eV per atom. The formation energy comes out at 0.216 eV per atom.